The following is a DFT calculation (GGA-PBE) of a geometry-optimized TaMn2Be2 structure.

Properties
energy of formation: 0.23 eV per atom

```
data_TaMn2Be2
_cell_length_a 3.843
_cell_length_b 3.843
_cell_length_c 7.782
_cell_angle_alpha 90.00
_cell_angle_beta 90.00
_cell_angle_gamma 90.00
_space_group_name_H-M_alt 'I 4/m m m'
_space_group_IT_number 139
_space_group_name_Hall '-I 4 2'
loop_
_atom_site_label
_atom_site_type_symbol
_atom_site_fract_x
_atom_site_fract_y
_atom_site_fract_z
_atom_site_occupancy
Ta1 Ta 0.000 0.000 0.000 1
Mn1 Mn 0.000 0.000 0.369 1
Be1 Be 0.000 0.500 0.250 1
```

---

The following is a DFT calculation (GGA-PBE) of a geometry-optimized Sm2Dy2SiIr4 structure.

Properties
ΔE_f (raw): -393 kJ/mol of formula units

```
data_Sm2Dy2SiIr4
_cell_length_a 6.442
_cell_length_b 6.442
_cell_length_c 9.070
_cell_angle_alpha 90.00
_cell_angle_beta 90.00
_cell_angle_gamma 90.00
_space_group_name_H-M_alt 'I 4/m m m'
_space_group_IT_number 139
_space_group_name_Hall '-I 4 2'
loop_
_atom_site_label
_atom_site_type_symbol
_atom_site_fract_x
_atom_site_fract_y
_atom_site_fract_z
_atom_site_occupancy
Sm1 Sm 0.000 0.000 0.192 1
Dy1 Dy 0.000 0.500 0.250 1
Si1 Si 0.000 0.000 0.500 1
Ir1 Ir 0.247 0.247 0.000 1
```

---

Values for uncorrected energy, eV/atom, ordered as above
-7.302 -7.065